# La2TcRh (PBE-GGA, relaxed)
data_La2TcRh
_cell_length_a 6.9927
_cell_length_b 6.9927
_cell_length_c 6.9927
_cell_angle_alpha 90.00
_cell_angle_beta 90.00
_cell_angle_gamma 90.00
_space_group_name_H-M_alt 'F -4 3 m'
_space_group_IT_number 216
_space_group_name_Hall 'F -4 2 3'
loop_
_atom_site_label
_atom_site_type_symbol
_atom_site_fract_x
_atom_site_fract_y
_atom_site_fract_z
La1 La 0.0000 0.0000 0.0000
La2 La 0.2500 0.2500 0.2500
Tc1 Tc 0.0000 0.0000 0.5000
Rh1 Rh 0.2500 0.2500 0.7500
# * formation energy from the elements: 0.12 eV/atom
# * distance to the lowest polymorph of the same formula: 0.2879 eV per atom
# * spin magnetization: 6.3 μB per cell
# * N(E_F): 5.56 states/eV/f.u.

***

# La4TcRh (PBE-GGA, relaxed)
data_La4TcRh
_cell_length_a 9.3567
_cell_length_b 13.7235
_cell_length_c 6.5732
_cell_angle_alpha 90.00
_cell_angle_beta 125.25
_cell_angle_gamma 90.00
_space_group_name_H-M_alt 'C 1 2/c 1'
_space_group_IT_number 15
loop_
_space_group_symop_operation_xyz
'x,y,z'
'-x,-y,-z'
'-x,y,-z+1/2'
'x,-y,z+1/2'
'x+1/2,y+1/2,z'
'-x+1/2,-y+1/2,-z'
'-x+1/2,y+1/2,-z+1/2'
'x+1/2,-y+1/2,z+1/2'
loop_
_atom_site_label
_atom_site_type_symbol
_atom_site_fract_x
_atom_site_fract_y
_atom_site_fract_z
La1 La 0.1325 0.1730 0.1002
La2 La 0.1993 0.4328 0.2658
Tc1 Tc 0.0000 0.0011 0.7500
Rh1 Rh 0.0000 0.3601 0.7500
# * formation energy from the elements: -0.30 eV/atom
# * distance to the lowest polymorph of the same formula: 0.0000 eV per atom
# * spin magnetization: 0.0 μB per cell
# * N(E_F): 4.69 states/eV/f.u.

***

Question: distance to the lowest polymorph of the same formula of number 2 (La4TcRh)?
Answer: 0.0000 eV per atom

***

What did the second record say?
# La4TcRh (PBE-GGA, relaxed)
data_La4TcRh
_cell_length_a 9.3567
_cell_length_b 13.7235
_cell_length_c 6.5732
_cell_angle_alpha 90.00
_cell_angle_beta 125.25
_cell_angle_gamma 90.00
_space_group_name_H-M_alt 'C 1 2/c 1'
_space_group_IT_number 15
loop_
_space_group_symop_operation_xyz
'x,y,z'
'-x,-y,-z'
'-x,y,-z+1/2'
'x,-y,z+1/2'
'x+1/2,y+1/2,z'
'-x+1/2,-y+1/2,-z'
'-x+1/2,y+1/2,-z+1/2'
'x+1/2,-y+1/2,z+1/2'
loop_
_atom_site_label
_atom_site_type_symbol
_atom_site_fract_x
_atom_site_fract_y
_atom_site_fract_z
La1 La 0.1325 0.1730 0.1002
La2 La 0.1993 0.4328 0.2658
Tc1 Tc 0.0000 0.0011 0.7500
Rh1 Rh 0.0000 0.3601 0.7500
# * formation energy from the elements: -0.30 eV/atom
# * distance to the lowest polymorph of the same formula: 0.0000 eV per atom
# * spin magnetization: 0.0 μB per cell
# * N(E_F): 4.69 states/eV/f.u.

***

Copy entry 2 word for word.
# La4TcRh (PBE-GGA, relaxed)
data_La4TcRh
_cell_length_a 9.3567
_cell_length_b 13.7235
_cell_length_c 6.5732
_cell_angle_alpha 90.00
_cell_angle_beta 125.25
_cell_angle_gamma 90.00
_space_group_name_H-M_alt 'C 1 2/c 1'
_space_group_IT_number 15
loop_
_space_group_symop_operation_xyz
'x,y,z'
'-x,-y,-z'
'-x,y,-z+1/2'
'x,-y,z+1/2'
'x+1/2,y+1/2,z'
'-x+1/2,-y+1/2,-z'
'-x+1/2,y+1/2,-z+1/2'
'x+1/2,-y+1/2,z+1/2'
loop_
_atom_site_label
_atom_site_type_symbol
_atom_site_fract_x
_atom_site_fract_y
_atom_site_fract_z
La1 La 0.1325 0.1730 0.1002
La2 La 0.1993 0.4328 0.2658
Tc1 Tc 0.0000 0.0011 0.7500
Rh1 Rh 0.0000 0.3601 0.7500
# * formation energy from the elements: -0.30 eV/atom
# * distance to the lowest polymorph of the same formula: 0.0000 eV per atom
# * spin magnetization: 0.0 μB per cell
# * N(E_F): 4.69 states/eV/f.u.